# LiPm5Sm4 (PBE, optimized geometry)
# Energy of formation from the pure elements   0.14 eV per atom
data_LiPm5Sm4
_cell_length_a 4.2054
_cell_length_b 4.2054
_cell_length_c 18.7399
_cell_angle_alpha 90.00
_cell_angle_beta 90.00
_cell_angle_gamma 90.00
_symmetry_space_group_name_H-M 'P 4/m m m'
_symmetry_Int_Tables_number 123
_symmetry_space_group_name_Hall '-P 4 2'
loop_
_atom_site_label
_atom_site_fract_x
_atom_site_fract_y
_atom_site_fract_z
Li1 0.0000 0.0000 0.0000
Pm1 0.5000 0.5000 0.0955
Pm2 0.5000 0.5000 0.2994
Pm3 0.5000 0.5000 0.5000
Sm1 0.0000 0.0000 0.2027
Sm2 0.0000 0.0000 0.3996

# LiPm4Sm (PBE, optimized geometry)
# Energy of formation from the pure elements   0.05 eV per atom
data_LiPm4Sm
_cell_length_a 3.6571
_cell_length_b 3.6571
_cell_length_c 14.3725
_cell_angle_alpha 90.00
_cell_angle_beta 90.00
_cell_angle_gamma 90.00
_symmetry_space_group_name_H-M 'P 4/m m m'
_symmetry_Int_Tables_number 123
_symmetry_space_group_name_Hall '-P 4 2'
loop_
_atom_site_label
_atom_site_fract_x
_atom_site_fract_y
_atom_site_fract_z
Li1 0.0000 0.0000 0.0000
Pm1 0.0000 0.0000 0.3206
Pm2 0.5000 0.5000 0.1441
Sm1 0.5000 0.5000 0.5000

# LiPmSm (PBE, optimized geometry)
# Energy of formation from the pure elements   0.04 eV per atom
data_LiPmSm
_cell_length_a 5.1885
_cell_length_b 5.1868
_cell_length_c 13.1528
_cell_angle_alpha 90.00
_cell_angle_beta 90.04
_cell_angle_gamma 90.00
_symmetry_space_group_name_H-M 'C 1 2/m 1'
_symmetry_Int_Tables_number 12
loop_
_symmetry_equiv_pos_as_xyz
'x,y,z'
'-x,-y,-z'
'-x,y,-z'
'x,-y,z'
'x+1/2,y+1/2,z'
'-x+1/2,-y+1/2,-z'
'-x+1/2,y+1/2,-z'
'x+1/2,-y+1/2,z'
loop_
_atom_site_label
_atom_site_fract_x
_atom_site_fract_y
_atom_site_fract_z
Li1 0.2491 0.0000 0.0499
Pm1 0.2487 0.5000 0.2145
Sm1 0.2494 0.0000 0.4022

# LiPmSm (PBE, optimized geometry)
# Energy of formation from the pure elements   0.10 eV per atom
data_LiPmSm
_cell_length_a 3.5529
_cell_length_b 3.5529
_cell_length_c 8.4450
_cell_angle_alpha 90.00
_cell_angle_beta 90.00
_cell_angle_gamma 120.00
_symmetry_space_group_name_H-M 'P 3 m 1'
_symmetry_Int_Tables_number 156
loop_
_symmetry_equiv_pos_as_xyz
'x,y,z'
'-y,x-y,z'
'-x+y,-x,z'
'-y,-x,z'
'-x+y,y,z'
'x,x-y,z'
loop_
_atom_site_label
_atom_site_fract_x
_atom_site_fract_y
_atom_site_fract_z
Li1 0.0000 0.0000 0.0000
Pm1 0.6667 0.3333 0.3290
Sm1 0.3333 0.6667 0.6727

What did the second record say?
# LiPm4Sm (PBE, optimized geometry)
# Energy of formation from the pure elements   0.05 eV per atom
data_LiPm4Sm
_cell_length_a 3.6571
_cell_length_b 3.6571
_cell_length_c 14.3725
_cell_angle_alpha 90.00
_cell_angle_beta 90.00
_cell_angle_gamma 90.00
_symmetry_space_group_name_H-M 'P 4/m m m'
_symmetry_Int_Tables_number 123
_symmetry_space_group_name_Hall '-P 4 2'
loop_
_atom_site_label
_atom_site_fract_x
_atom_site_fract_y
_atom_site_fract_z
Li1 0.0000 0.0000 0.0000
Pm1 0.0000 0.0000 0.3206
Pm2 0.5000 0.5000 0.1441
Sm1 0.5000 0.5000 0.5000